(1)
This record from Alexandria describes YCrSe2N after structural relaxation. The functional is PBE-GGA.

Cell: 5.0323 5.0323 3.6513 Å, 90.00 90.00 90.00°
Space group P4/mmm (No. 123)
Unique sites:
1 Y 0.0000 0.0000 0.0000 x1
2 Cr 0.5000 0.5000 0.5000 x1
3 Se 0.0000 0.5000 0.5000 x2
4 N 0.5000 0.5000 0.0000 x1

Summary:
E_form (uncorrected)   -0.701 eV per atom
Distance to the lowest polymorph of the same formula   0.000 eV/atom

(2)
This record from Alexandria describes TmTh2F11 after structural relaxation. The functional is PBE-GGA.

Cell: 8.5728 10.5541 10.9714 Å, 90.00 90.00 90.00°
Space group Ibam (No. 72)
Unique sites:
1 Tm 0.0000 0.0000 0.2500 x4
2 Th 0.1514 0.3166 0.0000 x8
3 F 0.0000 0.5000 0.0000 x4
4 F 0.0919 0.1682 0.1435 x16
5 F 0.1225 0.2902 0.5000 x8
6 F 0.2073 0.0721 0.3604 x16

Summary:
E_form (uncorrected)   -4.117 eV per atom

(3)
This record from Alexandria describes Ac2PtPb after structural relaxation. The functional is PBE-GGA.

Cell: 4.3124 4.3124 26.6685 Å, 90.00 90.00 120.00°
Space group R3m (No. 160, hexagonal axes)
Unique sites:
1 Ac 0.0000 0.0000 0.0000 x3
2 Ac 0.0000 0.0000 0.2008 x3
3 Pt 0.0000 0.0000 0.6001 x3
4 Pb 0.0000 0.0000 0.7669 x3

Summary:
Formation energy from the elements   -0.74 eV/atom

(4)
This record from Alexandria describes NpFeRh2 after structural relaxation. The functional is PBE-GGA.

Cell: 4.0182 4.0182 3.9116 Å, 90.00 90.00 90.00°
Space group P4/mmm (No. 123)
Unique sites:
1 Np 0.0000 0.0000 0.0000 x1
2 Fe 0.5000 0.5000 0.0000 x1
3 Rh 0.0000 0.5000 0.5000 x2

Summary:
Formation energy from the elements   -0.32 eV/atom
Distance to the lowest polymorph of the same formula   0.000 eV/atom

(5)
This record from Alexandria describes As2SeS after structural relaxation. The functional is PBE-GGA.

Cell: 6.8815 6.8815 7.7640 Å, 90.00 90.00 90.00°
Space group I-42d (No. 122)
Unique sites:
1 As 0.2361 0.7500 0.1250 x8
2 Se 0.0000 0.0000 0.5000 x4
3 S 0.0000 0.0000 0.0000 x4

Summary:
E_form (uncorrected)   0.284 eV per atom
Distance to the lowest polymorph of the same formula   0.292 eV/atom

(6)
This record from Alexandria describes InFePb2 after structural relaxation. The functional is PBE-GGA.

Cell: 3.3161 3.3161 8.8281 Å, 90.00 90.00 90.00°
Space group P4mm (No. 99)
Unique sites:
1 In 0.0000 0.0000 0.0000 x1
2 Fe 0.5000 0.5000 0.8299 x1
3 Pb 0.0000 0.0000 0.6192 x1
4 Pb 0.5000 0.5000 0.2857 x1

Summary:
Formation energy from the elements   0.31 eV/atom
Distance to the lowest polymorph of the same formula   0.033 eV/atom

In order of appearance, N(E_F) = 2.21 0.00 3.91 4.27 2.30 4.87 states/eV/f.u..
In order of appearance, V = 18.494 17.726 35.792 15.789 22.979 24.270 Å³ per atom.